(1)
The following is a DFT calculation (PBE-GGA) of an optimized crystal structure of TbPm2NdDy5.

Output
DFT total energy, eV per atom: -4.392
Total magnetization, μB per atom: 0.000

Cell: 8.735 8.735 15.499 Å, 90.00 90.00 90.00°
Space group I4/mcm (No. 140)
Inequivalent atoms, fractional coordinates:
1 Tb 0.000 0.500 0.250 (multiplicity 4)
2 Pm 0.117 0.383 0.000 (multiplicity 8)
3 Nd 0.000 0.000 0.250 (multiplicity 4)
4 Dy 0.000 0.000 0.000 (multiplicity 4)
5 Dy 0.209 0.291 0.363 (multiplicity 16)



(2)
The following is a DFT calculation (PBE-GGA) of an optimized crystal structure of PO.

Output
Energy relative to the elements, uncorrected, eV per atom: -0.672
Total magnetization, μB per atom: 0.000
Relative energy among the computed polymorphs, eV/f.u.: 0.799

Cell: 5.173 2.894 4.590 Å, 90.00 113.24 90.00°
Space group Cm (No. 8)
Inequivalent atoms, fractional coordinates:
1 P 0.000 0.000 0.000 (multiplicity 2)
2 O 0.124 0.000 0.353 (multiplicity 2)



(3)
The following is a DFT calculation (PBE-GGA) of an optimized crystal structure of KNi2MoIr.

Output
DFT total energy, eV per atom: -5.381
Total magnetization, μB per atom: 0.716

Cell: 4.818 4.818 4.735 Å, 90.00 90.00 90.00°
Space group P4/mmm (No. 123)
Inequivalent atoms, fractional coordinates:
1 K 0.000 0.000 0.000 (multiplicity 1)
2 Ni 0.000 0.500 0.500 (multiplicity 2)
3 Mo 0.500 0.500 0.000 (multiplicity 1)
4 Ir 0.500 0.500 0.500 (multiplicity 1)